[1]
Entry from Alexandria: a relaxed structure of Sr4SnH (PBE).

a = 7.4726 Å, b = 8.3394 Å, c = 8.3607 Å
α = 74.74°, β = 89.92°, γ = 63.44°
Last column: nearest neighbours and their distance in Å.
Fractional positions:
Sr 0.0223 0.2833 0.4687  1 H 2.39
Sr 0.1950 0.2835 0.9687  1 H 2.39
Sr 0.2735 0.8074 0.8749  2 H 3.14-3.32, 1 Sn 3.46
Sr 0.4200 0.8069 0.3761  2 H 3.14-3.32, 1 Sn 3.46
Sr 0.5800 0.1931 0.6239  2 H 3.14-3.32, 1 Sn 3.46
Sr 0.7265 0.1926 0.1251  2 H 3.14-3.32, 1 Sn 3.46
Sr 0.8050 0.7165 0.0313  1 H 2.39
Sr 0.9777 0.7167 0.5313  1 H 2.39
Sn 0.2840 0.5010 0.2495  8 Sr 3.45-3.55
Sn 0.7160 0.4990 0.7505  8 Sr 3.45-3.55
H 0.0000 0.0000 0.5000  2 Sr 2.39
H 0.5000 0.0000 0.0000  2 Sr 2.39

The symmetry is No. 2. The magnetization is 0.00 Bohr magnetons per cell. The calculation puts the electronic total energy at -2.6136 eV per atom. For the density, the calculation gives 3.51 Mg/m³.

[2]
Entry from Alexandria: a relaxed structure of PmHfGe2O8 (PBE).

a = 5.8978 Å, b = 5.8978 Å, c = 5.8978 Å
α = 107.29°, β = 107.29°, γ = 113.92°
Last column: nearest neighbours and their distance in Å.
Fractional positions:
Pm 0.0000 0.0000 0.0000  8 O 2.31-2.49
Hf 0.2500 0.7500 0.5000  8 O 2.18-2.29
Ge 0.5000 0.5000 0.0000  4 O 1.78
Ge 0.7500 0.2500 0.5000  4 O 1.76
O 0.3229 0.1270 0.8041  1 Ge 1.78
O 0.3229 0.5188 0.1959  1 Ge 1.78
O 0.3784 0.0522 0.3262  1 Ge 1.76
O 0.4812 0.6771 0.8041  1 Ge 1.78
O 0.7260 0.0522 0.6738  1 Ge 1.76
O 0.8730 0.6771 0.1959  1 Ge 1.78
O 0.9478 0.2740 0.3262  1 Ge 1.76
O 0.9478 0.6216 0.6738  1 Ge 1.76

The calculation puts the uncorrected formation energy at -2.3358 eV/atom. The symmetry is No. 119. The magnetization is 0.72 Bohr magnetons per cell. The calculation puts the electronic total energy at -7.6362 eV per atom. For the density, the calculation gives 6.30 Mg/m³.

[3]
Entry from Alexandria: a relaxed structure of CrHgAsBr2 (PBE).

a = 5.0965 Å, b = 5.0965 Å, c = 5.0074 Å
α = 90.00°, β = 90.00°, γ = 90.00°
Last column: nearest neighbours and their distance in Å.
Fractional positions:
Cr 0.0000 0.0000 0.0000  2 As 2.50, 4 Br 2.55
Hg 0.5000 0.5000 0.5000  8 Br 3.57, 4 As 3.60
As 0.0000 0.0000 0.5000  2 Cr 2.50
Br 0.0000 0.5000 0.0000  2 Cr 2.55
Br 0.5000 0.0000 0.0000  2 Cr 2.55

The calculation puts the uncorrected formation energy at 0.0236 eV/atom. The symmetry is No. 123. The magnetization is 2.44 Bohr magnetons per cell. The calculation puts the electronic total energy at -3.5605 eV per atom. For the density, the calculation gives 6.22 Mg/m³. Its energy above the most stable polymorph in this dataset is 0.00 eV/f.u.

[4]
Entry from Alexandria: a relaxed structure of YLuIn2 (PBE).

a = 3.7348 Å, b = 3.7348 Å, c = 7.4574 Å
α = 90.00°, β = 90.00°, γ = 90.00°
Last column: nearest neighbours and their distance in Å.
Fractional positions:
Y 0.0000 0.0000 0.0000  8 In 3.26
Lu 0.0000 0.0000 0.5000  8 In 3.20
In 0.5000 0.5000 0.2571  4 Lu 3.20, 4 Y 3.26
In 0.5000 0.5000 0.7429  4 Lu 3.20, 4 Y 3.26

The symmetry is No. 123. The magnetization is 0.00 Bohr magnetons per cell. The calculation puts the electronic total energy at -4.5593 eV per atom. For the density, the calculation gives 7.88 Mg/m³. Its energy above the most stable polymorph in this dataset is 0.00 eV/f.u.

[5]
Entry from Alexandria: a relaxed structure of Pm5Ge2O (PBE).

a = 8.8724 Å, b = 7.8718 Å, c = 5.6391 Å
α = 80.24°, β = 60.97°, γ = 38.78°
Last column: nearest neighbours and their distance in Å.
Fractional positions:
Pm 0.0000 0.0000 0.0000  2 O 2.74, 2 Ge 2.86
Pm 0.2116 0.5326 0.4674  1 O 2.46
Pm 0.4674 0.7884 0.2116  1 O 2.46
Pm 0.5326 0.2116 0.7884  1 O 2.46
Pm 0.7884 0.4674 0.5326  1 O 2.46
Ge 0.1940 0.1940 0.8060  3 Pm 2.86-3.07, 2 Ge 3.20
Ge 0.8060 0.8060 0.1940  3 Pm 2.86-3.07, 2 Ge 3.20
O 0.5000 0.5000 0.5000  6 Pm 2.46-2.74

The calculation puts the uncorrected formation energy at -0.9629 eV/atom. The symmetry is No. 69. The magnetization is 0.48 Bohr magnetons per cell. The calculation puts the electronic total energy at -5.7061 eV per atom. For the density, the calculation gives 7.38 Mg/m³.

[6]
Entry from Alexandria: a relaxed structure of BaFe3Pt (PBE).

a = 4.8757 Å, b = 4.8757 Å, c = 4.8757 Å
α = 90.00°, β = 90.00°, γ = 90.00°
Last column: nearest neighbours and their distance in Å.
Fractional positions:
Ba 0.0000 0.0000 0.0000  12 Fe 3.45
Fe 0.0000 0.5000 0.5000  2 Pt 2.44
Fe 0.5000 0.0000 0.5000  2 Pt 2.44
Fe 0.5000 0.5000 0.0000  2 Pt 2.44
Pt 0.5000 0.5000 0.5000  6 Fe 2.44

The symmetry is No. 221. The magnetization is 9.43 Bohr magnetons per cell. The calculation puts the electronic total energy at -6.0753 eV per atom. For the density, the calculation gives 7.16 Mg/m³.